Record 1
ScMnB3: optimized geometry, GGA-PBE.

Properties
ΔH_f (0 K) (meV/atom): 23

Cell: 3.7787 3.7787 3.7787 Å, 90.00 90.00 90.00°
Positions (direct):
Sc 0.5000 0.5000 0.5000
B 0.0000 0.5000 0.0000
B 0.0000 0.0000 0.5000
B 0.5000 0.0000 0.0000
Mn 0.0000 0.0000 0.0000


Record 2
ScMn4B4: optimized geometry, GGA-PBE.

Properties
ΔH_f (0 K) (meV/atom): -444

Cell: 3.9520 6.8060 6.8060 Å, 90.00 90.00 90.00°
Positions (direct):
Sc 0.0000 0.0000 0.0000
Sc 0.5000 0.5000 0.5000
Mn 0.3719 0.3696 0.8742
Mn 0.8719 0.6258 0.8696
Mn 0.3719 0.6304 0.1258
Mn 0.1281 0.1304 0.6258
Mn 0.6281 0.8742 0.6304
Mn 0.1281 0.8696 0.3742
Mn 0.8719 0.3742 0.1304
Mn 0.6281 0.1258 0.3696
B 0.6220 0.8254 0.3167
B 0.6220 0.1746 0.6833
B 0.1220 0.8167 0.6746
B 0.8780 0.3254 0.8167
B 0.8780 0.6746 0.1833
B 0.3780 0.3167 0.1746
B 0.3780 0.6833 0.8254
B 0.1220 0.1833 0.3254


Record 3
Sc2Mn5SiB2: optimized geometry, GGA-PBE.

Properties
ΔE_f (raw) (kJ/mol of formula units): -350.3

Cell: 3.0526 8.8513 8.8513 Å, 90.00 90.00 90.00°
Last column: magnetic moment on the atom in μB.
Positions (direct):
Sc 0.0000 0.6719 0.1719  -0.13
Sc 0.0000 0.3281 0.8281  -0.13
Sc 0.0000 0.1719 0.3281  -0.13
Sc 0.0000 0.8281 0.6719  -0.13
Mn 0.5000 0.2144 0.0693  2.00
Mn 0.5000 0.7856 0.9307  2.00
Mn 0.5000 0.0693 0.7856  2.00
Mn 0.5000 0.7144 0.4307  2.00
Mn 0.5000 0.9307 0.2144  2.00
Mn 0.5000 0.2856 0.5693  2.00
Mn 0.5000 0.5693 0.7144  2.00
Mn 0.5000 0.4307 0.2856  2.00
Mn 0.5000 0.5000 0.0000  1.15
Mn 0.5000 0.0000 0.5000  1.15
Si 0.0000 0.0000 0.0000  -0.07
Si 0.0000 0.5000 0.5000  -0.07
B 0.0000 0.1215 0.6215  -0.12
B 0.0000 0.8785 0.3785  -0.12
B 0.0000 0.6215 0.8785  -0.12
B 0.0000 0.3785 0.1215  -0.12


Record 4
ScTaMn2B: optimized geometry, GGA-PBE.

Properties
ΔH_f (0 K) (meV/atom): 60

Cell: 4.0281 4.4070 4.0281 Å, 90.00 90.00 90.00°
Last column: magnetic moment on the atom in μB.
Positions (direct):
Sc 0.5000 0.5000 0.5000  -0.15
B 0.0000 0.0000 0.0000  -0.11
Mn 0.0000 0.0000 0.5000  2.15
Mn 0.5000 0.0000 0.0000  1.77
Ta 0.0000 0.5000 0.0000  -0.27


Record 5
Sc2Mn5TcB2: optimized geometry, GGA-PBE.

Properties
ΔH_f (0 K) (meV/atom): -242

Cell: 2.9722 8.9976 8.9976 Å, 90.00 90.00 90.00°
Last column: magnetic moment on the atom in μB.
Positions (direct):
Sc 0.0000 0.6764 0.1764  -0.14
Sc 0.0000 0.3236 0.8236  -0.14
Sc 0.0000 0.1764 0.3236  -0.14
Sc 0.0000 0.8236 0.6764  -0.14
Mn 0.5000 0.2177 0.0670  1.43
Mn 0.5000 0.7823 0.9330  1.43
Mn 0.5000 0.0670 0.7823  1.43
Mn 0.5000 0.7177 0.4330  1.43
Mn 0.5000 0.9330 0.2177  1.43
Mn 0.5000 0.2823 0.5670  1.43
Mn 0.5000 0.5670 0.7177  1.43
Mn 0.5000 0.4330 0.2823  1.43
Mn 0.5000 0.5000 0.0000  1.12
Mn 0.5000 0.0000 0.5000  1.12
Tc 0.0000 0.0000 0.0000  -0.52
Tc 0.0000 0.5000 0.5000  -0.52
B 0.0000 0.1194 0.6194  -0.10
B 0.0000 0.8806 0.3806  -0.10
B 0.0000 0.6194 0.8806  -0.10
B 0.0000 0.3806 0.1194  -0.10


Record 6
Sc2MnTlB: optimized geometry, GGA-PBE.

Properties
Excess energy over the best structure of this formula in the dataset (meV per atom): 0
ΔH_f (0 K) (meV/atom): -234

Cell: 4.6970 4.6970 4.0556 Å, 90.00 90.00 90.00°
Last column: magnetic moment on the atom in μB.
Positions (direct):
Sc 0.0000 0.5000 0.0000  -0.15
Sc 0.5000 0.0000 0.0000  -0.15
Tl 0.5000 0.5000 0.5000  -0.05
Mn 0.0000 0.0000 0.5000  2.60
B 0.0000 0.0000 0.0000  -0.14


Record 7
Sc2MnTlB: optimized geometry, GGA-PBE.

Properties
Excess energy over the best structure of this formula in the dataset (meV per atom): 1232
ΔH_f (0 K) (meV/atom): 998

Cell: 4.6684 4.9681 4.6684 Å, 90.00 90.00 90.00°
Positions (direct):
Sc 0.0000 0.0000 0.5000
Sc 0.5000 0.0000 0.0000
Tl 0.0000 0.5000 0.0000
Mn 0.0000 0.0000 0.0000
B 0.5000 0.5000 0.5000


Record 8
Sc2Mn5VB2: optimized geometry, GGA-PBE.

Properties
ΔH_f (0 K) (meV/atom): -286

Cell: 2.9790 9.0108 9.0108 Å, 90.00 90.00 90.00°
Last column: magnetic moment on the atom in μB.
Positions (direct):
Sc 0.0000 0.6763 0.1763  -0.12
Sc 0.0000 0.3237 0.8237  -0.12
Sc 0.0000 0.1763 0.3237  -0.12
Sc 0.0000 0.8237 0.6763  -0.12
Mn 0.5000 0.2154 0.0658  1.90
Mn 0.5000 0.7846 0.9342  1.90
Mn 0.5000 0.0658 0.7846  1.90
Mn 0.5000 0.7154 0.4342  1.90
Mn 0.5000 0.9342 0.2154  1.90
Mn 0.5000 0.2846 0.5658  1.90
Mn 0.5000 0.5658 0.7154  1.90
Mn 0.5000 0.4342 0.2846  1.90
Mn 0.5000 0.5000 0.0000  1.47
Mn 0.5000 0.0000 0.5000  1.47
V 0.0000 0.0000 0.0000  -1.00
V 0.0000 0.5000 0.5000  -1.00
B 0.0000 0.1205 0.6205  -0.12
B 0.0000 0.8795 0.3795  -0.12
B 0.0000 0.6205 0.8795  -0.12
B 0.0000 0.3795 0.1205  -0.12